Computed, not measured: a relaxed structure of La2Tb3Y6 at the GGA-PBE level of DFT.

a b c (Å): 32.255 32.255 32.255
angles (deg): 6.41 6.41 6.41
Element x y z (fractional)
La: 0.046 0.046 0.046
La: 0.954 0.954 0.954
Tb: 0.227 0.227 0.227
Tb: 0.500 0.500 0.500
Tb: 0.773 0.773 0.773
Y: 0.137 0.137 0.137
Y: 0.318 0.318 0.318
Y: 0.410 0.410 0.410
Y: 0.590 0.590 0.590
Y: 0.682 0.682 0.682
Y: 0.863 0.863 0.863

- Crystal system: trigonal
- Calculated volume: 362.1 Å³/cell
- DOS(E_F): 15.3 states/eV per cell
- Magnetization: 0.000 μB/f.u.
- Calculated formation energy: 18.7 meV/atom
- Distance to the lowest polymorph of the same formula: 0.0 meV per atom
- DFT total energy: -5.666 eV/atom